Density functional theory data (PBE-GGA) for crystalline La2YSc at its relaxed geometry.

Results
The calculation puts the formation energy at 0.307 eV per formula unit. The energy above the most stable polymorph in this dataset is 36 meV/atom. As for the total magnetization: 0.000 μB per cell.

```
data_La2YSc
_chemical_formula_sum 'La8 Y4 Sc4'
_symmetry_space_group_name_H-M 'F m -3 m'
_symmetry_Int_Tables_number 225
_symmetry_space_group_name_Hall '-F 4 2 3'
_cell_length_a 8.061
_cell_length_b 8.061
_cell_length_c 8.061
_cell_angle_alpha 90.00
_cell_angle_beta 90.00
_cell_angle_gamma 90.00
loop_
_atom_site_label
_atom_site_type_symbol
_atom_site_fract_x
_atom_site_fract_y
_atom_site_fract_z
La1 La 0.250 0.250 0.250
Y1 Y 0.000 0.000 0.000
Sc1 Sc 0.000 0.000 0.500
```